VASP calculation (PBE-GGA) on crystalline SrAlF3 at its relaxed geometry.

POSCAR file:
```
SrAlF3
1.0
4.745 0.000 0.000
0.000 4.745 0.000
0.000 0.000 4.745
Sr Al F
1 1 3
Direct
0.000 0.000 0.000
0.500 0.500 0.500
0.000 0.000 0.500
0.000 0.500 0.000
0.500 0.000 0.000
```

Properties
symmetry = Pm-3m
Fermi-level density of states = 0.000 states/eV/atom
uncorrected formation energy = -2582 meV per atom
energy above the most stable polymorph in this dataset = 0.000 eV/atom

VASP calculation (PBE-GGA) on crystalline ReAsW2 at its relaxed geometry.

POSCAR file:
```
ReAsW2
1.0
1.433 0.828 8.921
-1.433 0.828 8.921
0.000 -1.655 8.921
Re As W
1 1 2
Direct
0.000 0.000 0.000
0.500 0.500 0.500
0.251 0.251 0.251
0.749 0.749 0.749
```

Properties
total DFT energy (no corrections) = -0.7664 Ry per atom
symmetry = R-3m
Fermi-level density of states = 0.951 states/eV/atom

VASP calculation (PBE-GGA) on crystalline Bi2Pd2S at its relaxed geometry.

POSCAR file:
```
Bi2Pd2S
1.0
-1.931 1.931 7.581
1.931 -1.931 7.581
1.931 1.931 -7.581
Bi Pd S
2 2 1
Direct
0.113 0.113 0.000
0.887 0.887 0.000
0.250 0.750 0.500
0.750 0.250 0.500
0.500 0.500 0.000
```

Properties
symmetry = I4/mmm
Fermi-level density of states = 0.602 states/eV/atom
uncorrected formation energy = -92 meV per atom
energy above the most stable polymorph in this dataset = 0.015 eV/atom

VASP calculation (PBE-GGA) on crystalline MnZn3Pt at its relaxed geometry.

POSCAR file:
```
MnZn3Pt
1.0
2.846 0.000 0.000
-0.018 6.811 0.000
-1.413 -2.598 7.706
Mn Zn Pt
2 6 2
Direct
0.240 0.313 0.481
0.760 0.687 0.519
0.176 0.906 0.350
0.411 0.878 0.822
0.468 0.293 0.937
0.532 0.707 0.063
0.589 0.122 0.178
0.824 0.094 0.650
0.115 0.486 0.232
0.885 0.514 0.768
```

Properties
symmetry = P-1
Fermi-level density of states = 0.512 states/eV/atom
energy above the most stable polymorph in this dataset = 0.000 eV/atom

VASP calculation (PBE-GGA) on crystalline VNi2Ir at its relaxed geometry.

POSCAR file:
```
VNi2Ir
1.0
0.000 2.921 2.921
2.921 0.000 2.921
2.921 2.921 0.000
V Ni Ir
1 2 1
Direct
0.000 0.000 0.000
0.250 0.250 0.250
0.750 0.750 0.750
0.500 0.500 0.500
```

Properties
total DFT energy (no corrections) = -0.5479 Ry per atom
symmetry = Fm-3m
Fermi-level density of states = 1.290 states/eV/atom

VASP calculation (PBE-GGA) on crystalline Y2Ge3Ir4Rh at its relaxed geometry.

POSCAR file:
```
Y2Ge3Ir4Rh
1.0
4.161 0.000 0.000
0.000 4.161 0.000
0.000 0.000 10.470
Y Ge Ir Rh
2 3 4 1
Direct
0.000 0.500 0.244
0.500 0.000 0.756
0.000 0.500 0.868
0.500 0.000 0.132
0.500 0.500 0.500
0.000 0.000 0.000
0.000 0.500 0.639
0.500 0.000 0.361
0.500 0.500 0.000
0.000 0.000 0.500
```

Properties
total DFT energy (no corrections) = -0.5616 Ry per atom
symmetry = P-4m2
Fermi-level density of states = 0.574 states/eV/atom

VASP calculation (PBE-GGA) on crystalline CeNd2Y at its relaxed geometry.

POSCAR file:
```
CeNd2Y
1.0
1.807 1.044 11.671
-1.807 1.044 11.671
0.000 -2.087 11.671
Ce Nd Y
1 2 1
Direct
0.000 0.000 0.000
0.415 0.415 0.415
0.585 0.585 0.585
0.167 0.167 0.167
```

Properties
symmetry = R3m
Fermi-level density of states = 2.015 states/eV/atom
energy above the most stable polymorph in this dataset = 0.000 eV/atom

VASP calculation (PBE-GGA) on crystalline YGaPt3 at its relaxed geometry.

POSCAR file:
```
YGaPt3
1.0
4.687 0.000 0.000
0.000 4.687 0.000
0.000 0.000 4.687
Y Ga Pt
1 1 3
Direct
0.000 0.000 0.000
0.500 0.500 0.500
0.000 0.500 0.500
0.500 0.000 0.500
0.500 0.500 0.000
```

Properties
symmetry = Pm-3m
Fermi-level density of states = 0.537 states/eV/atom
energy above the most stable polymorph in this dataset = 0.480 eV/atom